# 1
Here is a relaxed Mn2InFe crystal from Alexandria via LeMat-Bulk. Energies are from PBE-GGA.

The value obtained for the calculated formation energy is 119 kJ/mol of formula units.

The space group is P2/m (No. 10) and the conventional cell measures 2.757, 4.135 and 5.399 Å, with angles of 90.00, 103.72 and 90.00 degrees. The distinct sites, in fractional coordinates, are Mn at (0.187, 0.000, 0.283), In at (0.500, 0.500, 0.000) and Fe at (0.000, 0.500, 0.500).



# 2
Here is a relaxed Rb2ScPtCl6 crystal from Alexandria via LeMat-Bulk. Energies are from PBE-GGA.

Its formation energy from raw total energies is -1.45 eV/atom.

The space group is I4/mmm (No. 139) and the conventional cell measures 7.793, 7.793 and 9.094 Å, with angles of 90.00, 90.00 and 90.00 degrees. The distinct sites, in fractional coordinates, are Rb at (0.000, 0.500, 0.250), Sc at (0.000, 0.000, 0.000), Pt at (0.000, 0.000, 0.500), Cl at (0.000, 0.000, 0.256) and Cl at (0.230, 0.230, 0.000).



# 3
Here is a relaxed BaCaCu3 crystal from Alexandria via LeMat-Bulk. Energies are from PBE-GGA.

The value obtained for the calculated formation energy is 408 kJ/mol of formula units.

The space group is Pm-3m (No. 221) and the conventional cell measures 5.543, 5.543 and 5.543 Å, with angles of 90.00, 90.00 and 90.00 degrees. The distinct sites, in fractional coordinates, are Ba at (0.000, 0.000, 0.000), Ca at (0.500, 0.500, 0.500) and Cu at (0.000, 0.000, 0.500).



# 4
Here is a relaxed SrAlH crystal from Alexandria via LeMat-Bulk. Energies are from PBE-GGA.

The value obtained for the total energy is -0.2287 Ry per atom.

The space group is Cmme (No. 67) and the conventional cell measures 5.228, 5.437 and 9.009 Å, with angles of 90.00, 90.00 and 90.00 degrees. The distinct sites, in fractional coordinates, are Sr at (0.000, 0.250, 0.183), Al at (0.250, 0.000, 0.500) and H at (0.000, 0.250, 0.897).



# 5
Here is a relaxed PrSi2PtAu2 crystal from Alexandria via LeMat-Bulk. Energies are from PBE-GGA.

Its formation energy from raw total energies is -0.42 eV/atom.

The space group is I4/mmm (No. 139) and the conventional cell measures 4.327, 4.327 and 14.343 Å, with angles of 90.00, 90.00 and 90.00 degrees. The distinct sites, in fractional coordinates, are Pr at (0.000, 0.000, 0.000), Si at (0.000, 0.000, 0.339), Pt at (0.000, 0.000, 0.500) and Au at (0.000, 0.500, 0.250).



# 6
Here is a relaxed NaMnSb2 crystal from Alexandria via LeMat-Bulk. Energies are from PBE-GGA.

Its formation energy from raw total energies is 0.35 eV/atom.

The space group is Fm-3m (No. 225) and the conventional cell measures 6.780, 6.780 and 6.780 Å, with angles of 90.00, 90.00 and 90.00 degrees. The distinct sites, in fractional coordinates, are Na at (0.000, 0.000, 0.000), Mn at (0.000, 0.000, 0.500) and Sb at (0.250, 0.250, 0.250).



# 7
Here is a relaxed Fe9Co7 crystal from Alexandria via LeMat-Bulk. Energies are from PBE-GGA.

The value obtained for the calculated formation energy is -85 kJ/mol of formula units.

The space group is Pm-3m (No. 221) and the conventional cell measures 5.697, 5.697 and 5.697 Å, with angles of 90.00, 90.00 and 90.00 degrees. The distinct sites, in fractional coordinates, are Fe at (0.000, 0.000, 0.000), Fe at (0.250, 0.250, 0.250), Co at (0.000, 0.000, 0.500), Co at (0.000, 0.500, 0.500) and Co at (0.500, 0.500, 0.500).



# 8
Here is a relaxed La3CdO crystal from Alexandria via LeMat-Bulk. Energies are from PBE-GGA.

Its formation energy from raw total energies is 0.00 eV/atom.

The space group is I-4m2 (No. 119) and the conventional cell measures 5.416, 5.416 and 25.103 Å, with angles of 90.00, 90.00 and 90.00 degrees. The distinct sites, in fractional coordinates, are La at (0.000, 0.000, 0.193), La at (0.000, 0.248, 0.623), Cd at (0.000, 0.000, 0.500), Cd at (0.000, 0.500, 0.750) and O at (0.000, 0.500, 0.158).